# TlReAu3 PBE relaxed
# Magnetic moment, μB/f.u.: 0.63
# VASP energy, eV for the cell shown: -20.0
# Energy above the lowest structure with this stoichiometry, meV per atom: 0.0
# E_form, meV/atom: 929
# Mass density, g cm⁻³: 12.20
data_TlReAu3
_symmetry_space_group_name_H-M 'P m -3 m'
_symmetry_Int_Tables_number 221
_symmetry_space_group_name_Hall '-P 4 2 3'
_cell_length_a 5.1122
_cell_length_b 5.1122
_cell_length_c 5.1122
_cell_angle_alpha 90.00
_cell_angle_beta 90.00
_cell_angle_gamma 90.00
loop_
_atom_site_label
_atom_site_fract_x
_atom_site_fract_y
_atom_site_fract_z
_atom_site_occupancy
Tl1 0.0000 0.0000 0.0000 1
Re1 0.5000 0.5000 0.5000 1
Au1 0.0000 0.5000 0.5000 1